Record 1
SrTeAs2 PBE-GGA relaxed; energy relative to the elements, uncorrected = -315 meV per atom; volume = 25.77 Å³ per atom; DOS at the Fermi energy = 0.817 states/eV per atom; space group = No. 119
1.0
-0.9570 -4.0899 4.5573
-0.5234 -6.0349 -1.3110
3.8016 4.7233 -1.2845
As Te Sr
2 1 1
Direct
0.0000 0.0000 0.0000
0.2500 0.7500 0.5000
0.7500 0.2500 0.5000
0.5000 0.5000 0.0000

=====

Record 2
Sr2TeAs PBE-GGA relaxed; energy relative to the elements, uncorrected = -1091 meV per atom; volume = 31.12 Å³ per atom; energy above the most stable polymorph in this dataset = 52.5 kJ/mol of formula units; DOS at the Fermi energy = 1.328 states/eV per atom; space group = No. 225
1.0
0.0000 3.9630 3.9630
3.9630 0.0000 3.9630
3.9630 3.9630 0.0000
Sr Te As
2 1 1
Direct
0.7500 0.7500 0.7500
0.2500 0.2500 0.2500
0.5000 0.5000 0.5000
0.0000 0.0000 0.0000

=====

Record 3
SrTe2As PBE-GGA relaxed; energy relative to the elements, uncorrected = -729 meV per atom; volume = 34.72 Å³ per atom; DOS at the Fermi energy = 0.302 states/eV per atom; space group = No. 6
1.0
4.8180 0.0000 0.0000
0.0000 4.7078 0.0365
0.0000 2.4622 6.1418
Te As Sr
2 1 1
Direct
0.0000 0.0847 0.8913
0.5000 0.3010 0.3486
0.0000 0.4707 0.4708
0.5000 0.6436 0.7893

=====

Record 4
SrTe2As PBE-GGA relaxed; energy relative to the elements, uncorrected = -203 meV per atom; volume = 38.07 Å³ per atom; DOS at the Fermi energy = 0.360 states/eV per atom; space group = No. 166
1.0
-8.9680 2.1143 3.5948
-6.6481 1.5599 7.1546
-6.5768 5.3283 5.1160
Te As Sr
2 1 1
Direct
0.8877 0.8877 0.8877
0.1123 0.1123 0.1123
0.5000 0.5000 0.5000
0.0000 0.0000 0.0000

=====

Record 5
Sr2TeAs2 PBE-GGA relaxed; energy relative to the elements, uncorrected = -975 meV per atom; volume = 29.61 Å³ per atom; energy above the most stable polymorph in this dataset = 35.3 kJ/mol of formula units; DOS at the Fermi energy = 0.298 states/eV per atom; space group = No. 127
1.0
8.2782 0.0000 0.0000
0.0000 8.2782 0.0000
0.0000 0.0000 4.3212
Te As Sr
2 4 4
Direct
0.0000 0.0000 0.0000
0.5000 0.5000 0.0000
0.3980 0.8980 0.0000
0.6020 0.1020 0.0000
0.8980 0.6020 0.0000
0.1020 0.3980 0.0000
0.8110 0.3110 0.5000
0.1890 0.6890 0.5000
0.6890 0.8110 0.5000
0.3110 0.1890 0.5000

=====

Record 6
Sr2TeAs PBE-GGA relaxed; energy relative to the elements, uncorrected = -464 meV per atom; volume = 30.37 Å³ per atom; energy above the most stable polymorph in this dataset = 294.7 kJ/mol of formula units; DOS at the Fermi energy = 1.074 states/eV per atom; space group = No. 216
1.0
5.5589 0.0000 0.0000
2.7794 4.8141 0.0000
2.7794 1.6047 4.5388
Sr Te As
2 1 1
Direct
0.0000 0.0000 0.0000
0.2500 0.2500 0.2500
0.7500 0.7500 0.7500
0.5000 0.5000 0.5000

=====

Record 7
SrTeAs2 PBE-GGA relaxed; energy relative to the elements, uncorrected = -376 meV per atom; volume = 26.05 Å³ per atom; DOS at the Fermi energy = 0.368 states/eV per atom; space group = No. 71
1.0
5.8708 -0.0066 -0.0048
2.0802 5.4899 0.0048
-3.4979 -3.4343 3.2307
As Te Sr
2 1 1
Direct
0.5303 0.5303 0.0000
0.9697 0.9697 0.0000
0.7500 0.2500 0.5000
0.2500 0.7500 0.5000

=====

Record 8
SrTeAs2 PBE-GGA relaxed; energy relative to the elements, uncorrected = -605 meV per atom; volume = 29.77 Å³ per atom; DOS at the Fermi energy = 0.053 states/eV per atom; space group = No. 6
1.0
-3.6266 0.3753 -1.8610
-2.2352 0.1292 4.3818
-0.5973 5.9513 2.3643
Sr As Te
1 2 1
Direct
0.0000 0.4373 0.5316
0.0000 0.0090 0.0707
0.5000 0.1995 0.2172
0.5000 0.8543 0.6804

=====

Record 9
SrTe2As PBE-GGA relaxed; energy relative to the elements, uncorrected = -577 meV per atom; volume = 32.47 Å³ per atom; DOS at the Fermi energy = 0.138 states/eV per atom; space group = No. 69
1.0
-3.0999 0.4114 -4.5421
4.8970 -2.1933 -1.3534
-0.8114 -4.9911 -2.2186
Te As Sr
2 1 1
Direct
0.0000 0.0000 0.0000
0.5000 0.0000 0.5000
0.0000 0.5000 0.5000
0.5000 0.5000 0.0000

=====

Record 10
Sr2TeAs PBE-GGA relaxed; energy relative to the elements, uncorrected = -1227 meV per atom; volume = 35.00 Å³ per atom; energy above the most stable polymorph in this dataset = 0.0 kJ/mol of formula units; DOS at the Fermi energy = 0.904 states/eV per atom; space group = No. 12
1.0
-1.5671 -2.4347 -3.4696
2.4499 -3.4143 -1.6619
-3.2045 -6.9212 3.3700
Sr Te As
2 1 1
Direct
0.9972 0.9972 0.0090
0.5028 0.5028 0.4910
0.7500 0.7500 0.7500
0.2500 0.2500 0.2500

=====

Record 11
Sr6Te4As PBE-GGA relaxed; energy relative to the elements, uncorrected = -1384 meV per atom; volume = 37.27 Å³ per atom; DOS at the Fermi energy = 0.482 states/eV per atom; space group = No. 167
1.0
-5.9374 -4.0323 6.0084
6.9420 -1.1308 6.1760
-1.9398 8.4000 3.6456
Te Sr As
8 12 2
Direct
0.1242 0.7500 0.6242
0.6242 0.8758 0.7500
0.7500 0.7500 0.2500
0.2500 0.6242 0.1242
0.8758 0.2500 0.3758
0.7500 0.3758 0.8758
0.2500 0.2500 0.7500
0.3758 0.1242 0.2500
0.5757 0.4462 0.1970
0.3030 0.9462 0.9243
0.9243 0.6970 0.9462
0.8030 0.5757 0.5538
0.6970 0.0538 0.0757
0.1970 0.4243 0.4462
0.0757 0.3030 0.0538
0.9462 0.0757 0.6970
0.4462 0.8030 0.4243
0.5538 0.1970 0.5757
0.4243 0.5538 0.8030
0.0538 0.9243 0.3030
0.0000 0.0000 0.0000
0.5000 0.5000 0.5000

=====

Record 12
Sr2TeAs PBE-GGA relaxed; energy relative to the elements, uncorrected = -1113 meV per atom; volume = 31.06 Å³ per atom; energy above the most stable polymorph in this dataset = 44.0 kJ/mol of formula units; DOS at the Fermi energy = 0.736 states/eV per atom; space group = No. 65
1.0
-3.7468 1.6123 3.8221
2.7518 -3.4156 3.4653
2.3882 3.0108 1.0707
Sr As Te
2 1 1
Direct
0.0000 0.0000 0.0000
0.5000 0.5000 0.0000
0.0000 0.5000 0.5000
0.5000 0.0000 0.5000

=====

Record 13
SrTe2As PBE-GGA relaxed; energy relative to the elements, uncorrected = -265 meV per atom; volume = 44.43 Å³ per atom; DOS at the Fermi energy = 0.880 states/eV per atom; space group = No. 166
1.0
5.2133 7.0640 3.5475
4.3289 4.2417 7.2755
7.8452 3.1630 4.2558
As Te Sr
1 2 1
Direct
0.0000 0.0000 0.0000
0.0981 0.0981 0.0981
0.9019 0.9019 0.9019
0.5000 0.5000 0.5000

=====

Record 14
Sr2TeAs PBE-GGA relaxed; energy relative to the elements, uncorrected = -1121 meV per atom; volume = 35.14 Å³ per atom; energy above the most stable polymorph in this dataset = 41.1 kJ/mol of formula units; DOS at the Fermi energy = 0.570 states/eV per atom; space group = No. 44
1.0
8.6887 1.2640 0.0044
5.9849 6.4243 -0.0044
-7.3209 -3.8744 2.9127
As Sr Te
1 2 1
Direct
0.2017 0.7017 0.5000
0.7946 0.2946 0.5000
0.0508 0.0508 0.0000
0.4529 0.4529 0.0000

=====

Record 15
SrTeAs2 PBE-GGA relaxed; energy relative to the elements, uncorrected = -369 meV per atom; volume = 25.53 Å³ per atom; DOS at the Fermi energy = 0.481 states/eV per atom; space group = No. 47
1.0
-0.9758 2.0138 4.0470
0.7607 -3.9799 2.1638
4.6305 1.1744 0.5322
Sr Te As
1 1 2
Direct
0.5000 0.0000 0.5000
0.0000 0.5000 0.5000
0.0000 0.0000 0.0000
0.5000 0.5000 0.0000

=====

Record 16
SrTeAs2 PBE-GGA relaxed; energy relative to the elements, uncorrected = -505 meV per atom; volume = 26.32 Å³ per atom; DOS at the Fermi energy = 0.652 states/eV per atom; space group = No. 44
1.0
-1.4167 -1.2820 5.6546
4.8438 -0.1966 3.4820
-3.0491 3.6618 -3.5944
As Te Sr
2 1 1
Direct
0.0271 0.0271 0.0000
0.2030 0.7030 0.5000
0.7809 0.2809 0.5000
0.4890 0.4890 0.0000

=====

Record 17
SrTe2As PBE-GGA relaxed; energy relative to the elements, uncorrected = -642 meV per atom; volume = 32.56 Å³ per atom; DOS at the Fermi energy = 0.539 states/eV per atom; space group = No. 123
1.0
-2.4229 -0.1023 3.7711
3.1184 -6.9996 1.8137
4.8420 -3.0340 3.0287
Sr Te As
1 2 1
Direct
0.0000 0.0000 0.5000
0.5000 0.5000 0.0000
0.0000 0.0000 0.0000
0.5000 0.5000 0.5000

=====

Record 18
Sr2TeAs2 PBE-GGA relaxed; energy relative to the elements, uncorrected = -1048 meV per atom; volume = 29.28 Å³ per atom; energy above the most stable polymorph in this dataset = 0.0 kJ/mol of formula units; DOS at the Fermi energy = 0.213 states/eV per atom; space group = No. 139
1.0
4.0808 0.0000 0.0000
0.0000 4.0808 0.0000
2.0404 2.0404 8.7904
As Te Sr
2 1 2
Direct
0.2500 0.7500 0.5000
0.7500 0.2500 0.5000
0.0000 0.0000 0.0000
0.6086 0.6086 0.7827
0.3914 0.3914 0.2173

=====

Record 19
SrTeAs2 PBE-GGA relaxed; energy relative to the elements, uncorrected = -330 meV per atom; volume = 25.95 Å³ per atom; DOS at the Fermi energy = 0.551 states/eV per atom; space group = No. 139
1.0
6.1513 0.0015 0.0000
2.9636 5.3903 0.0000
-4.5574 -2.6959 3.1306
Te As Sr
1 2 1
Direct
0.7500 0.2500 0.5000
0.5000 0.5000 0.0000
0.0000 0.0000 0.0000
0.2500 0.7500 0.5000

=====

Record 20
SrTeAs2 PBE-GGA relaxed; energy relative to the elements, uncorrected = -351 meV per atom; volume = 28.35 Å³ per atom; DOS at the Fermi energy = 0.422 states/eV per atom; space group = No. 166
1.0
7.6231 -0.0153 -0.0093
6.4410 4.0775 -0.0093
6.4410 1.8604 3.6284
As Te Sr
2 1 1
Direct
0.4903 0.4903 0.4903
0.0097 0.0097 0.0097
0.7500 0.7500 0.7500
0.2500 0.2500 0.2500

=====

Record 21
SrTe2As PBE-GGA relaxed; energy relative to the elements, uncorrected = -509 meV per atom; volume = 28.59 Å³ per atom; DOS at the Fermi energy = 0.497 states/eV per atom; space group = No. 123
1.0
5.3131 0.0000 0.0000
0.0000 5.3119 0.0000
0.0000 0.0000 4.0518
Te Sr As
2 1 1
Direct
0.0000 0.0000 0.0000
0.5000 0.5000 0.0000
0.0000 0.5000 0.5000
0.5000 0.0000 0.5000

=====

Record 22
SrTe2As PBE-GGA relaxed; energy relative to the elements, uncorrected = -734 meV per atom; volume = 30.95 Å³ per atom; DOS at the Fermi energy = 0.357 states/eV per atom; space group = No. 38
1.0
-5.6936 2.9117 0.7390
-4.0831 1.7589 4.6557
2.1513 4.1221 0.3286
Te As Sr
2 1 1
Direct
0.9968 0.9968 0.1248
0.7172 0.7172 0.6252
0.5010 0.5010 0.6248
0.2850 0.2850 0.1252

=====

Record 23
Sr2TeAs PBE-GGA relaxed; energy relative to the elements, uncorrected = -1139 meV per atom; volume = 30.80 Å³ per atom; energy above the most stable polymorph in this dataset = 34.1 kJ/mol of formula units; DOS at the Fermi energy = 0.254 states/eV per atom; space group = No. 47
1.0
-2.3877 -1.1025 3.1030
-2.1527 -1.8638 -2.3187
2.4541 -8.6087 -1.1703
Te Sr As
1 2 1
Direct
0.5000 0.2500 0.2500
0.0000 0.0148 0.9848
0.0000 0.4852 0.5152
0.5000 0.7500 0.7500

=====

Record 24
SrTe2As PBE-GGA relaxed; energy relative to the elements, uncorrected = -563 meV per atom; volume = 32.20 Å³ per atom; DOS at the Fermi energy = 0.314 states/eV per atom; space group = No. 12
1.0
7.0511 0.0465 -0.1717
5.5739 4.3188 -0.1717
-1.3170 -0.4554 4.3014
Sr Te As
1 2 1
Direct
0.2500 0.2500 0.2500
0.9787 0.9787 0.9790
0.5213 0.5213 0.5210
0.7500 0.7500 0.7500

=====

Record 25
SrTeAs2 PBE-GGA relaxed; energy relative to the elements, uncorrected = -259 meV per atom; volume = 26.64 Å³ per atom; DOS at the Fermi energy = 0.796 states/eV per atom; space group = No. 123
1.0
4.1694 0.0004 0.0000
-0.0016 4.1694 0.0000
0.0000 0.0000 6.1299
Te As Sr
1 2 1
Direct
0.5000 0.5000 0.7500
0.0000 0.0000 0.5396
0.0000 0.0000 0.9604
0.5000 0.5000 0.2500

=====

Record 26
SrTeAs2 PBE-GGA relaxed; energy relative to the elements, uncorrected = -598 meV per atom; volume = 31.11 Å³ per atom; DOS at the Fermi energy = 0.168 states/eV per atom; space group = No. 12
1.0
-0.8986 5.3460 3.6228
-4.1777 4.8565 1.2136
-1.5912 -3.8343 2.9448
As Sr Te
2 1 1
Direct
0.5157 0.5157 0.4144
0.9843 0.9843 0.0856
0.2500 0.2500 0.2500
0.7500 0.7500 0.7500

=====

Record 27
SrTe2As PBE-GGA relaxed; energy relative to the elements, uncorrected = -491 meV per atom; volume = 28.75 Å³ per atom; DOS at the Fermi energy = 0.784 states/eV per atom; space group = No. 119
1.0
6.4590 -0.0074 0.0000
3.2913 5.5575 0.0000
-4.8751 -2.7751 3.2017
Te Sr As
2 1 1
Direct
0.0000 0.0000 0.0000
0.2500 0.7500 0.5000
0.7500 0.2500 0.5000
0.5000 0.5000 0.0000

=====

Record 28
SrTe2As PBE-GGA relaxed; energy relative to the elements, uncorrected = -608 meV per atom; volume = 31.10 Å³ per atom; DOS at the Fermi energy = 0.575 states/eV per atom; space group = No. 10
1.0
4.0814 0.0000 0.0000
0.0000 4.5967 0.0137
0.0000 2.5105 6.6385
Te As Sr
2 1 1
Direct
0.0000 0.3868 0.4902
0.0000 0.1132 0.0098
0.5000 0.2500 0.2500
0.5000 0.7500 0.7500

=====

Record 29
SrTe2As PBE-GGA relaxed; energy relative to the elements, uncorrected = -407 meV per atom; volume = 28.59 Å³ per atom; DOS at the Fermi energy = 0.847 states/eV per atom; space group = No. 139
1.0
-6.3435 -0.5562 -0.6170
-2.6433 -5.8114 -0.4137
4.1901 3.0940 3.7149
Te Sr As
2 1 1
Direct
0.5000 0.5000 0.0000
0.0000 0.0000 0.0000
0.7500 0.2500 0.5000
0.2500 0.7500 0.5000